# 1
This record from Alexandria describes a geometry-optimized CaTlZn4 structure. The functional is GGA-PBEsol.

It has space group F-43m (No. 216), with a = 7.6736 Å, b = 7.6736 Å, c = 7.6736 Å, α = 90.00°, β = 90.00° and γ = 90.00°. The inequivalent atoms are Ca at (0.0000, 0.0000, 0.0000), Tl at (0.2500, 0.2500, 0.2500) and Zn at (0.1260, 0.1260, 0.6260).

The energy of formation comes out at -112 meV/atom. The value obtained for the density of states at the Fermi level is 0.442 states/eV/atom. The calculation puts the total energy at -1.961 eV/atom.

# 2
This record from Alexandria describes a geometry-optimized As2Cl structure. The functional is GGA-PBEsol.

It has space group C2/m (No. 12), with a = 10.4999 Å, b = 3.5908 Å, c = 8.4360 Å, α = 90.00°, β = 107.05° and γ = 90.00°. The inequivalent atoms are As at (0.1182, 0.0000, 0.2554), As at (0.1244, 0.5000, 0.0513) and Cl at (0.1611, 0.5000, 0.6291).

The energy above the lowest structure with this stoichiometry comes out at 0.0 meV/atom. The value obtained for the density of states at the Fermi level is 0.000 states/eV/atom. The calculation puts the total energy at -4.289 eV/atom. The uncorrected formation energy comes out at -0.215 eV/atom.

# 3
This record from Alexandria describes a geometry-optimized Si3W2 structure. The functional is GGA-PBEsol.

It has space group P-3m1 (No. 164), with a = 4.3157 Å, b = 4.3157 Å, c = 4.9846 Å, α = 90.00°, β = 90.00° and γ = 120.00°. The inequivalent atoms are Si at (0.0000, 0.0000, 0.0000), Si at (0.3333, 0.6667, 0.3896) and W at (0.3333, 0.6667, 0.8883).

The value obtained for the density of states at the Fermi level is 0.730 states/eV/atom. The calculation puts the total energy at -8.838 eV/atom. The uncorrected formation energy comes out at 0.133 eV/atom.

# 4
This record from Alexandria describes a geometry-optimized CsNb2TcGe structure. The functional is GGA-PBEsol.

It has space group P4/mmm (No. 123), with a = 4.8564 Å, b = 4.8564 Å, c = 5.8295 Å, α = 90.00°, β = 90.00° and γ = 90.00°. The inequivalent atoms are Cs at (0.0000, 0.0000, 0.0000), Nb at (0.0000, 0.5000, 0.5000), Tc at (0.5000, 0.5000, 0.0000) and Ge at (0.0000, 0.0000, 0.5000).

The energy of formation comes out at 2108 meV/atom. The value obtained for the density of states at the Fermi level is 1.444 states/eV/atom. The calculation puts the total energy at -5.651 eV/atom.

# 5
This record from Alexandria describes a geometry-optimized ZrBeZn2 structure. The functional is GGA-PBEsol.

It has space group P4mm (No. 99), with a = 2.8914 Å, b = 2.8914 Å, c = 6.8605 Å, α = 90.00°, β = 90.00° and γ = 90.00°. The inequivalent atoms are Zr at (0.0000, 0.0000, 0.0000), Be at (0.5000, 0.5000, 0.2656), Zn at (0.0000, 0.0000, 0.4468) and Zn at (0.5000, 0.5000, 0.6947).

The energy of formation comes out at -90 meV/atom. The value obtained for the density of states at the Fermi level is 0.517 states/eV/atom. The calculation puts the total energy at -4.154 eV/atom.

# 6
This record from Alexandria describes a geometry-optimized NiPt2Br structure. The functional is GGA-PBEsol.

It has space group Cmmm (No. 65), with a = 5.5626 Å, b = 7.6840 Å, c = 2.8320 Å, α = 90.00°, β = 90.00° and γ = 90.00°. The inequivalent atoms are Ni at (0.0000, 0.0000, 0.0000), Pt at (0.2500, 0.2500, 0.5000) and Br at (0.0000, 0.5000, 0.0000).

The energy above the lowest structure with this stoichiometry comes out at 297.1 meV/atom. The value obtained for the density of states at the Fermi level is 1.268 states/eV/atom. The calculation puts the total energy at -4.853 eV/atom. The uncorrected formation energy comes out at 0.636 eV/atom.

# 7
This record from Alexandria describes a geometry-optimized YCd2Os structure. The functional is GGA-PBEsol.

It has space group R-3m (No. 166, hexagonal axes), with a = 2.9566 Å, b = 2.9566 Å, c = 30.4810 Å, α = 90.00°, β = 90.00° and γ = 120.00°. The inequivalent atoms are Y at (0.0000, 0.0000, 0.0000), Cd at (0.0000, 0.0000, 0.2416) and Os at (0.0000, 0.0000, 0.5000).

The energy of formation comes out at 436 meV/atom. The value obtained for the density of states at the Fermi level is 0.839 states/eV/atom. The calculation puts the total energy at -4.922 eV/atom.

# 8
This record from Alexandria describes a geometry-optimized TaTeSe structure. The functional is GGA-PBEsol.

It has space group P3m1 (No. 156), with a = 3.5278 Å, b = 3.5278 Å, c = 6.5300 Å, α = 90.00°, β = 90.00° and γ = 120.00°. The inequivalent atoms are Ta at (0.0000, 0.0000, 0.0000), Te at (0.3333, 0.6667, 0.7101) and Se at (0.6667, 0.3333, 0.2447).

The value obtained for the density of states at the Fermi level is 0.614 states/eV/atom. The calculation puts the total energy at -7.198 eV/atom. The uncorrected formation energy comes out at -0.555 eV/atom.